A plane-wave DFT calculation with PBE-GGA was carried out for a relaxed structure of La2BI.

Cell and atoms, written as POSCAR:
```
La2BI
1.0
7.7116 0.0000 0.0000
0.0000 7.7116 0.0000
0.0000 0.0000 8.4970
La B I
8 4 4
Direct
0.1683 0.7500 0.1250 La
0.2500 0.1683 0.8750 La
0.2500 0.3317 0.3750 La
0.3317 0.7500 0.6250 La
0.6683 0.2500 0.6250 La
0.7500 0.6683 0.3750 La
0.7500 0.8317 0.8750 La
0.8317 0.2500 0.1250 La
0.0000 0.0000 0.0000 B
0.0000 0.5000 0.2500 B
0.5000 0.0000 0.7500 B
0.5000 0.5000 0.5000 B
0.0000 0.0000 0.5000 I
0.0000 0.5000 0.7500 I
0.5000 0.0000 0.2500 I
0.5000 0.5000 0.0000 I
```

Computed properties:
Formation energy from raw total energies: -0.3160 eV/atom
Spin magnetization: 0.00 μB/atom
Polymorph energy (0 for the lowest one): 0.00 eV/f.u.
Space group: I-42d